The following is a PBE calculation of an optimized crystal structure of CeSiNi3, from the Alexandria database.

Properties
Magnetization, Bohr magnetons per cell: 0.0
Density of states at the Fermi level, states/eV/f.u.: 5.64
Relative energy among the computed polymorphs, meV per atom: 0
Raw formation energy, eV per atom: -0.4581

Cell: 6.1125 6.1125 6.1125 Å, 131.45 112.35 87.58°
Fractional coordinates of all 10 atoms:
1 Ce 0.0000 0.0000 0.0000
2 Ce 0.5000 0.0000 0.5000
3 Si 0.2880 0.5380 0.7500
4 Si 0.7120 0.4620 0.2500
5 Ni 0.1144 0.6786 0.4358
6 Ni 0.2572 0.3214 0.9358
7 Ni 0.5000 0.0000 0.0000
8 Ni 0.5000 0.5000 0.5000
9 Ni 0.7428 0.6786 0.0642
10 Ni 0.8856 0.3214 0.5642